This record from Alexandria via LeMat-Bulk describes a relaxed structure of Be2Ag2Ru. The functional is GGA-PBE.

Output
Energy relative to the elements, eV per atom: 0.653
E above lowest polymorph, eV per atom: 0.2254
ρ, g cm⁻³: 7.8
Crystal system: tetragonal
Final energy, eV/cell: -38.33

abc: 4.1265 4.1265 8.3249
angles: 90.00 90.00 90.00
Last column: nearest neighbours and their distance in Å.
Element x y z (fractional)
Be 0.0000 0.5000 0.2500  4 Ag 2.23
Be 0.0000 0.5000 0.7500  4 Ag 2.23
Be 0.5000 0.0000 0.2500  4 Ag 2.23
Be 0.5000 0.0000 0.7500  4 Ag 2.23
Ag 0.0000 0.0000 0.1487  4 Be 2.23, 1 Ag 2.48
Ag 0.0000 0.0000 0.8513  4 Be 2.23, 1 Ag 2.48
Ag 0.5000 0.5000 0.3513  4 Be 2.23, 1 Ag 2.48
Ag 0.5000 0.5000 0.6487  4 Be 2.23, 1 Ag 2.48
Ru 0.0000 0.0000 0.5000  10 Ag 2.92-3.17, 8 Be 2.93
Ru 0.5000 0.5000 0.0000  10 Ag 2.92-3.17, 8 Be 2.93